Density functional theory data (PBE) for an optimized crystal structure of BaZn3.

## Properties
density of states at the Fermi level = 0.80 states/eV per atom
calculated total energy = -5.39 eV/cell
spin magnetization = 0.00 μB per formula unit
ΔH_f (0 K) = 0.35 eV/f.u.
space group = Pm-3m

a = 4.777 Å, b = 4.777 Å, c = 4.771 Å
α = 90.00°, β = 90.00°, γ = 90.00°
Fractional positions:
Zn (0.500, 0.000, 0.500)
Zn (0.500, 0.500, 0.000)
Zn (0.000, 0.500, 0.500)
Ba (0.000, 0.000, 0.000)

Density functional theory data (PBE) for an optimized crystal structure of Ba2Zn.

## Properties
density of states at the Fermi level = 1.15 states/eV per atom
calculated total energy = -10.72 eV/cell
spin magnetization = 0.00 μB per formula unit
ΔH_f (0 K) = -0.24 eV/f.u.
space group = I4/mcm

a = 7.012 Å, b = 7.012 Å, c = 7.012 Å
α = 107.80°, β = 107.80°, γ = 112.88°
Fractional positions:
Zn (0.750, 0.750, 0.000)
Zn (0.250, 0.250, 0.000)
Ba (0.810, 0.310, 0.121)
Ba (0.190, 0.690, 0.879)
Ba (0.690, 0.810, 0.500)
Ba (0.310, 0.190, 0.500)

Density functional theory data (PBE) for an optimized crystal structure of BaZn4.

## Properties
density of states at the Fermi level = 1.08 states/eV per atom
calculated total energy = -2.78 eV/cell
polymorph energy (0 for the lowest one) = 1025.9 meV/atom
spin magnetization = 0.00 μB per formula unit
ΔH_f (0 K) = 4.24 eV/f.u.
space group = Pm-3m

a = 6.576 Å, b = 6.576 Å, c = 6.576 Å
α = 90.00°, β = 90.00°, γ = 90.00°
Fractional positions:
Zn (0.500, 0.000, 0.500)
Zn (0.500, 0.500, 0.000)
Zn (0.000, 0.000, 0.000)
Zn (0.000, 0.500, 0.500)
Ba (0.500, 0.500, 0.500)

Density functional theory data (PBE) for an optimized crystal structure of BaZn5.

## Properties
density of states at the Fermi level = 0.56 states/eV per atom
calculated total energy = -19.08 eV/cell
spin magnetization = 0.00 μB per formula unit
ΔH_f (0 K) = -1.25 eV/f.u.
space group = Cmcm

a = 6.871 Å, b = 6.871 Å, c = 5.377 Å
α = 90.00°, β = 90.00°, γ = 104.14°
Fractional positions:
Zn (0.917, 0.536, 0.750)
Zn (0.083, 0.464, 0.250)
Zn (0.921, 0.921, 0.750)
Zn (0.206, 0.794, 0.000)
Zn (0.464, 0.083, 0.250)
Zn (0.794, 0.206, 0.500)
Zn (0.794, 0.206, 0.000)
Zn (0.536, 0.917, 0.750)
Zn (0.206, 0.794, 0.500)
Zn (0.079, 0.079, 0.250)
Ba (0.331, 0.331, 0.750)
Ba (0.669, 0.669, 0.250)

Density functional theory data (PBE) for an optimized crystal structure of Ba2Zn.

## Properties
density of states at the Fermi level = 1.00 states/eV per atom
calculated total energy = -10.84 eV/cell
spin magnetization = 0.00 μB per formula unit
ΔH_f (0 K) = -0.30 eV/f.u.
space group = C2/m

a = 8.091 Å, b = 8.091 Å, c = 10.024 Å
α = 55.41°, β = 55.41°, γ = 31.39°
Fractional positions:
Ba (0.640, 0.640, 0.231)
Ba (0.060, 0.060, 0.901)
Ba (0.885, 0.885, 0.710)
Ba (0.305, 0.305, 0.380)
Zn (0.590, 0.590, 0.617)
Zn (0.354, 0.354, 0.994)

Density functional theory data (PBE) for an optimized crystal structure of Ba5Zn3.

## Properties
density of states at the Fermi level = 1.18 states/eV per atom
calculated total energy = -14.54 eV/cell
spin magnetization = 0.00 μB per formula unit
ΔH_f (0 K) = -1.10 eV/f.u.
space group = P4/mmm

a = 4.157 Å, b = 4.157 Å, c = 19.221 Å
α = 90.00°, β = 90.00°, γ = 90.00°
Fractional positions:
Zn (0.000, 0.000, 0.500)
Zn (0.500, 0.500, 0.889)
Zn (0.500, 0.500, 0.111)
Ba (0.000, 0.000, 0.208)
Ba (0.500, 0.500, 0.399)
Ba (0.000, 0.000, 0.792)
Ba (0.000, 0.000, 0.000)
Ba (0.500, 0.500, 0.601)

Density functional theory data (PBE) for an optimized crystal structure of Ba2Zn.

## Properties
density of states at the Fermi level = 1.38 states/eV per atom
calculated total energy = -10.36 eV/cell
spin magnetization = 0.00 μB per formula unit
ΔH_f (0 K) = -0.06 eV/f.u.
space group = Pnnm

a = 4.659 Å, b = 7.980 Å, c = 8.333 Å
α = 90.00°, β = 90.00°, γ = 90.00°
Fractional positions:
Zn (0.000, 0.000, 0.000)
Zn (0.500, 0.500, 0.500)
Ba (0.000, 0.758, 0.334)
Ba (0.500, 0.742, 0.834)
Ba (0.500, 0.258, 0.166)
Ba (0.000, 0.242, 0.666)

Density functional theory data (PBE) for an optimized crystal structure of Ba5Zn.

## Properties
density of states at the Fermi level = 1.99 states/eV per atom
calculated total energy = -8.66 eV/cell
polymorph energy (0 for the lowest one) = 412.1 meV/atom
spin magnetization = 0.00 μB per formula unit
ΔH_f (0 K) = 2.23 eV/f.u.
space group = F-43m

a = 7.994 Å, b = 7.994 Å, c = 7.994 Å
α = 60.00°, β = 60.00°, γ = 60.00°
Fractional positions:
Ba (0.626, 0.123, 0.626)
Ba (0.250, 0.250, 0.250)
Ba (0.123, 0.626, 0.626)
Ba (0.626, 0.626, 0.626)
Ba (0.626, 0.626, 0.123)
Zn (0.000, 0.000, 0.000)

Density functional theory data (PBE) for an optimized crystal structure of BaZr2Zn.

## Properties
density of states at the Fermi level = 1.37 states/eV per atom
calculated total energy = -18.39 eV/cell
spin magnetization = 0.00 μB per formula unit
ΔH_f (0 K) = 1.90 eV/f.u.
space group = I-4m2

a = 5.643 Å, b = 5.643 Å, c = 5.643 Å
α = 130.78°, β = 130.78°, γ = 72.16°
Fractional positions:
Ba (0.500, 0.500, 0.000)
Zn (0.750, 0.250, 0.500)
Zr (0.000, 0.000, 0.000)
Zr (0.250, 0.750, 0.500)

Density functional theory data (PBE) for an optimized crystal structure of BaZrZn.

## Properties
density of states at the Fermi level = 1.12 states/eV per atom
calculated total energy = -44.88 eV/cell
polymorph energy (0 for the lowest one) = 213.8 meV/atom
spin magnetization = 0.00 μB per formula unit
ΔH_f (0 K) = 0.53 eV/f.u.
space group = Pnma

a = 8.441 Å, b = 4.611 Å, c = 9.281 Å
α = 90.00°, β = 90.00°, γ = 90.00°
Fractional positions:
Zn (0.783, 0.250, 0.372)
Zn (0.283, 0.250, 0.128)
Zn (0.717, 0.750, 0.872)
Zn (0.217, 0.750, 0.628)
Zr (0.100, 0.250, 0.444)
Zr (0.600, 0.250, 0.056)
Zr (0.400, 0.750, 0.944)
Zr (0.900, 0.750, 0.556)
Ba (0.039, 0.250, 0.835)
Ba (0.961, 0.750, 0.165)
Ba (0.539, 0.250, 0.665)
Ba (0.461, 0.750, 0.335)

Density functional theory data (PBE) for an optimized crystal structure of BaZrZn2.

## Properties
density of states at the Fermi level = 0.97 states/eV per atom
calculated total energy = -12.29 eV/cell
polymorph energy (0 for the lowest one) = 267.0 meV/atom
spin magnetization = 0.00 μB per formula unit
ΔH_f (0 K) = 0.73 eV/f.u.
space group = R-3m

a = 9.490 Å, b = 9.490 Å, c = 9.490 Å
α = 21.90°, β = 21.90°, γ = 21.90°
Fractional positions:
Zn (0.513, 0.513, 0.513)
Zn (0.987, 0.987, 0.987)
Zr (0.250, 0.250, 0.250)
Ba (0.750, 0.750, 0.750)

Density functional theory data (PBE) for an optimized crystal structure of BaZr4Zn.

## Properties
density of states at the Fermi level = 1.54 states/eV per atom
calculated total energy = -34.03 eV/cell
spin magnetization = 0.00 μB per formula unit
ΔH_f (0 K) = 3.36 eV/f.u.
space group = F-43m

a = 6.059 Å, b = 6.059 Å, c = 6.059 Å
α = 60.00°, β = 60.00°, γ = 60.00°
Fractional positions:
Zr (0.877, 0.374, 0.374)
Zr (0.374, 0.374, 0.374)
Zr (0.374, 0.877, 0.374)
Zr (0.374, 0.374, 0.877)
Ba (0.750, 0.750, 0.750)
Zn (0.000, 0.000, 0.000)

Density functional theory data (PBE) for an optimized crystal structure of BaZr2Zn.

## Properties
density of states at the Fermi level = 1.30 states/eV per atom
calculated total energy = -18.57 eV/cell
spin magnetization = 0.00 μB per formula unit
ΔH_f (0 K) = 1.73 eV/f.u.
space group = Pmmm

a = 3.362 Å, b = 5.555 Å, c = 5.457 Å
α = 90.00°, β = 90.00°, γ = 90.00°
Fractional positions:
Zr (0.000, 0.000, 0.000)
Zr (0.500, 0.500, 0.000)
Zn (0.000, 0.500, 0.500)
Ba (0.500, 0.000, 0.500)

Density functional theory data (PBE) for an optimized crystal structure of BaZrZn2.

## Properties
density of states at the Fermi level = 0.87 states/eV per atom
calculated total energy = -12.24 eV/cell
polymorph energy (0 for the lowest one) = 278.4 meV/atom
spin magnetization = 0.00 μB per formula unit
ΔH_f (0 K) = 0.78 eV/f.u.
space group = Imm2

a = 6.187 Å, b = 6.187 Å, c = 6.187 Å
α = 148.64°, β = 128.71°, γ = 61.36°
Fractional positions:
Ba (0.235, 0.735, 0.500)
Zn (0.773, 0.273, 0.500)
Zn (0.963, 0.963, 0.000)
Zr (0.529, 0.529, 0.000)